Here is crystalline La6PdBr8 at its relaxed geometry from Alexandria via LeMat-Bulk. Energies are from PBE.

**Space-group type**: R-3 (148)
**E_form (uncorrected)**: -1.530 eV per atom
**Crystal system**: trigonal
**Final energy**: -71.09 eV for the cell shown

a = 11.627 Å, b = 11.627 Å, c = 11.627 Å
α = 37.37°, β = 37.37°, γ = 37.37°
Sites, in units of the cell vectors:
La1 0.053 0.379 0.727
La2 0.273 0.947 0.621
La3 0.379 0.727 0.053
La4 0.621 0.273 0.947
La5 0.727 0.053 0.379
La6 0.947 0.621 0.273
Pd1 0.000 0.000 0.000
Br1 0.109 0.776 0.444
Br2 0.224 0.556 0.891
Br3 0.333 0.333 0.333
Br4 0.444 0.109 0.776
Br5 0.556 0.891 0.224
Br6 0.667 0.667 0.667
Br7 0.776 0.444 0.109
Br8 0.891 0.224 0.556

---

Here is crystalline LaPdBr3 at its relaxed geometry from Alexandria via LeMat-Bulk. Energies are from PBE.

**Space-group type**: Pm-3m (221)
**E_form (uncorrected)**: -0.716 eV per atom
**Crystal system**: cubic
**Energy above the most stable polymorph in this dataset**: 0.1549 eV/atom
**Final energy**: -18.72 eV for the cell shown

a = 5.199 Å, b = 5.199 Å, c = 5.199 Å
α = 90.00°, β = 90.00°, γ = 90.00°
Sites, in units of the cell vectors:
La1 0.000 0.000 0.000
Pd1 0.500 0.500 0.500
Br1 0.000 0.500 0.500
Br2 0.500 0.000 0.500
Br3 0.500 0.500 0.000

---

Here is crystalline La2Pd2Br at its relaxed geometry from Alexandria via LeMat-Bulk. Energies are from PBE.

**Space-group type**: I4/mmm (139)
**E_form (uncorrected)**: -0.718 eV per atom
**Crystal system**: tetragonal
**Final energy**: -25.50 eV for the cell shown

a = 6.248 Å, b = 6.248 Å, c = 6.248 Å
α = 128.90°, β = 128.90°, γ = 75.18°
Sites, in units of the cell vectors:
La1 0.250 0.750 0.500
La2 0.750 0.250 0.500
Pd1 0.131 0.131 0.000
Pd2 0.869 0.869 0.000
Br1 0.500 0.500 0.000